Sc2TeW: single point on PBEsol structure, meta-GGA SCAN.

abc: 10.146 10.146 10.146
angles: 18.31 18.31 18.31
Sites, in units of the cell vectors:
Sc 0.098 0.098 0.098
Sc 0.902 0.902 0.902
Te 0.000 0.000 0.000
W 0.500 0.500 0.500

* density of states at the Fermi level: 6.7 states/eV/cell
* uncorrected formation energy: 333 meV/atom
* space group: R-3m (166)

ScTe2W: single point on PBEsol structure, meta-GGA SCAN.

abc: 4.900 4.900 4.900
angles: 60.00 60.00 60.00
Sites, in units of the cell vectors:
Sc 0.000 0.000 0.000
Te 0.500 0.500 0.500
Te 0.750 0.750 0.750
W 0.250 0.250 0.250

* density of states at the Fermi level: 3.3 states/eV/cell
* uncorrected formation energy: 595 meV/atom
* space group: F-43m (216)

Y2ScTe: single point on PBEsol structure, meta-GGA SCAN.

abc: 5.922 5.922 5.922
angles: 135.22 135.22 65.18
Sites, in units of the cell vectors:
Y 0.250 0.750 0.500
Y 0.750 0.250 0.500
Sc 0.000 0.000 0.000
Te 0.500 0.500 0.000

* density of states at the Fermi level: 4.2 states/eV/cell
* uncorrected formation energy: -432 meV/atom
* space group: I4/mmm (139)

Y2ScTe: single point on PBEsol structure, meta-GGA SCAN.

abc: 6.025 6.025 6.025
angles: 136.54 136.54 63.14
Sites, in units of the cell vectors:
Y 0.000 0.000 0.000
Y 0.750 0.250 0.500
Sc 0.500 0.500 0.000
Te 0.250 0.750 0.500

* density of states at the Fermi level: 3.5 states/eV/cell
* uncorrected formation energy: -459 meV/atom
* space group: I-4m2 (119)

YScTe2: single point on PBEsol structure, meta-GGA SCAN.

abc: 7.302 7.302 7.302
angles: 33.37 33.37 33.37
Sites, in units of the cell vectors:
Y 0.000 0.000 0.000
Sc 0.500 0.500 0.500
Te 0.245 0.245 0.245
Te 0.755 0.755 0.755

* density of states at the Fermi level: 2.4 states/eV/cell
* uncorrected formation energy: -1317 meV/atom
* space group: R-3m (166)

Y2ScTe: single point on PBEsol structure, meta-GGA SCAN.

abc: 3.889 3.889 6.906
angles: 90.00 90.00 90.00
Sites, in units of the cell vectors:
Y 0.000 0.000 0.243
Y 0.000 0.000 0.757
Sc 0.500 0.500 0.500
Te 0.500 0.500 0.000

* density of states at the Fermi level: 3.1 states/eV/cell
* uncorrected formation energy: -630 meV/atom
* space group: P4/mmm (123)

Y2ScTe: single point on PBEsol structure, meta-GGA SCAN.

abc: 6.276 6.276 6.276
angles: 145.01 130.78 61.81
Sites, in units of the cell vectors:
Y 0.228 0.228 0.000
Y 0.772 0.772 0.000
Sc 0.500 0.000 0.500
Te 0.000 0.500 0.500

* density of states at the Fermi level: 4.3 states/eV/cell
* uncorrected formation energy: -454 meV/atom
* space group: Immm (71)

YScTe2: single point on PBEsol structure, meta-GGA SCAN.

abc: 4.106 4.106 6.203
angles: 90.00 90.00 90.00
Sites, in units of the cell vectors:
Y 0.000 0.000 0.000
Sc 0.500 0.500 0.371
Te 0.000 0.000 0.482
Te 0.500 0.500 0.892

* density of states at the Fermi level: 2.1 states/eV/cell
* uncorrected formation energy: -1319 meV/atom
* space group: P4mm (99)

Y2ScTe: single point on PBEsol structure, meta-GGA SCAN.

abc: 4.687 6.135 6.135
angles: 36.71 90.00 90.00
Sites, in units of the cell vectors:
Y 0.000 0.000 0.000
Y 0.500 0.305 0.305
Sc 0.000 0.728 0.728
Te 0.500 0.580 0.580

* density of states at the Fermi level: 1.7 states/eV/cell
* uncorrected formation energy: -679 meV/atom
* space group: Amm2 (38)

YScTe2: single point on PBEsol structure, meta-GGA SCAN.

abc: 7.372 7.372 7.372
angles: 149.44 148.87 44.18
Sites, in units of the cell vectors:
Y 0.000 0.000 0.000
Sc 0.246 0.746 0.500
Te 0.405 0.405 0.000
Te 0.668 0.168 0.500

* density of states at the Fermi level: 1.9 states/eV/cell
* uncorrected formation energy: -1339 meV/atom
* space group: Imm2 (44)

YScTe2: single point on PBEsol structure, meta-GGA SCAN.

abc: 4.212 4.212 5.967
angles: 90.00 90.00 90.00
Sites, in units of the cell vectors:
Y 0.000 0.000 0.000
Sc 0.500 0.500 0.500
Te 0.000 0.000 0.500
Te 0.500 0.500 0.000

* density of states at the Fermi level: 2.5 states/eV/cell
* uncorrected formation energy: -1297 meV/atom
* space group: P4/mmm (123)

ScZn2Te: single point on PBEsol structure, meta-GGA SCAN.

abc: 4.839 4.839 4.839
angles: 60.00 60.00 60.00
Sites, in units of the cell vectors:
Sc 0.000 0.000 0.000
Zn 0.500 0.500 0.500
Zn 0.750 0.750 0.750
Te 0.250 0.250 0.250

* density of states at the Fermi level: 2.3 states/eV/cell
* uncorrected formation energy: -110 meV/atom
* space group: F-43m (216)